{
  "formula": "CeHoTlGe",
  "functional": "PBE-GGA",
  "state": "relaxed",
  "lattice": [[7.4461, 0.0000, 0.0000], [0.0000, 7.4461, 0.0000], [0.0000, 0.0000, 7.4461]],
  "species": ["Ce", "Ce", "Ce", "Ce", "Ho", "Ho", "Ho", "Ho", "Tl", "Tl", "Tl", "Tl", "Ge", "Ge", "Ge", "Ge"],
  "fractional_positions": [[0.0000, 0.0000, 0.0000], [0.0000, 0.5000, 0.5000], [0.5000, 0.0000, 0.5000], [0.5000, 0.5000, 0.0000], [0.0000, 0.0000, 0.5000], [0.0000, 0.5000, 0.0000], [0.5000, 0.0000, 0.0000], [0.5000, 0.5000, 0.5000], [0.2500, 0.2500, 0.7500], [0.2500, 0.7500, 0.2500], [0.7500, 0.2500, 0.2500], [0.7500, 0.7500, 0.7500], [0.2500, 0.2500, 0.2500], [0.2500, 0.7500, 0.7500], [0.7500, 0.2500, 0.7500], [0.7500, 0.7500, 0.2500]],
  "space_group": "F-43m (216)",
  "volume_a3_per_atom": 25.8,
  "formation_energy_ev_per_atom": -0.392,
  "dft_energy_ev_per_cell": -76.25
}

=====

{
  "formula": "CeHoZnGe",
  "functional": "PBE-GGA",
  "state": "relaxed",
  "lattice": [[7.1599, 0.0000, 0.0000], [0.0000, 7.1599, 0.0000], [0.0000, 0.0000, 7.1599]],
  "species": ["Ce", "Ce", "Ce", "Ce", "Ho", "Ho", "Ho", "Ho", "Zn", "Zn", "Zn", "Zn", "Ge", "Ge", "Ge", "Ge"],
  "fractional_positions": [[0.0000, 0.0000, 0.0000], [0.0000, 0.5000, 0.5000], [0.5000, 0.0000, 0.5000], [0.5000, 0.5000, 0.0000], [0.0000, 0.0000, 0.5000], [0.0000, 0.5000, 0.0000], [0.5000, 0.0000, 0.0000], [0.5000, 0.5000, 0.5000], [0.2500, 0.2500, 0.2500], [0.2500, 0.7500, 0.7500], [0.7500, 0.2500, 0.7500], [0.7500, 0.7500, 0.2500], [0.2500, 0.2500, 0.7500], [0.2500, 0.7500, 0.2500], [0.7500, 0.2500, 0.2500], [0.7500, 0.7500, 0.7500]],
  "space_group": "F-43m (216)",
  "volume_a3_per_atom": 22.9,
  "formation_energy_ev_per_atom": -0.481,
  "dft_energy_ev_per_cell": -73.31
}

=====

{
  "formula": "Ce2HoZn2Ge2",
  "functional": "PBE-GGA",
  "state": "relaxed",
  "lattice": [[2.1475, 1.2399, 9.1322], [-2.1475, 1.2399, 9.1322], [0.0000, -2.4797, 9.1322]],
  "species": ["Ce", "Ce", "Ho", "Zn", "Zn", "Ge", "Ge"],
  "fractional_positions": [[0.1413, 0.1413, 0.1413], [0.8587, 0.8587, 0.8587], [0.0000, 0.0000, 0.0000], [0.4049, 0.4049, 0.4049], [0.5951, 0.5951, 0.5951], [0.2670, 0.2670, 0.2670], [0.7330, 0.7330, 0.7330]],
  "space_group": "R-3m (166)",
  "volume_a3_per_atom": 20.8,
  "formation_energy_ev_per_atom": -0.409,
  "dft_energy_ev_per_cell": -31.09
}

=====

{
  "formula": "CeGeI2",
  "functional": "PBE-GGA",
  "state": "relaxed",
  "lattice": [[3.9116, 0.0000, 0.0000], [-1.9558, 3.3875, 0.0000], [0.0000, 0.0000, 31.6399]],
  "species": ["Ce", "Ce", "Ce", "Ge", "Ge", "Ge", "I", "I", "I", "I", "I", "I"],
  "fractional_positions": [[0.0000, 0.0000, 0.0000], [0.3333, 0.6667, 0.6667], [0.6667, 0.3333, 0.3333], [0.0000, 0.0000, 0.5000], [0.3333, 0.6667, 0.1667], [0.6667, 0.3333, 0.8333], [0.0000, 0.0000, 0.0985], [0.0000, 0.0000, 0.9015], [0.3333, 0.6667, 0.5682], [0.3333, 0.6667, 0.7652], [0.6667, 0.3333, 0.2348], [0.6667, 0.3333, 0.4318]],
  "space_group": "R-3m (166)",
  "raw_formation_energy_ev_per_atom": 0.064,
  "volume_a3_per_atom": 34.9,
  "dft_energy_ev_per_cell": -40.19
}

=====

{
  "formula": "CeGeI",
  "functional": "PBE-GGA",
  "state": "relaxed",
  "lattice": [[7.8788, 0.0000, 0.0000], [0.0000, 4.6390, 0.0000], [-3.5268, 0.0000, 11.9561]],
  "species": ["Ce", "Ce", "Ce", "Ce", "Ge", "Ge", "Ge", "Ge", "I", "I", "I", "I"],
  "fractional_positions": [[0.1446, 0.0000, 0.3230], [0.3554, 0.5000, 0.6770], [0.6446, 0.5000, 0.3230], [0.8554, 0.0000, 0.6770], [0.1477, 0.0000, 0.5616], [0.3523, 0.5000, 0.4384], [0.6477, 0.5000, 0.5616], [0.8523, 0.0000, 0.4384], [0.0881, 0.5000, 0.8412], [0.4119, 0.0000, 0.1588], [0.5881, 0.0000, 0.8412], [0.9119, 0.5000, 0.1588]],
  "space_group": "C2/m (12)",
  "raw_formation_energy_ev_per_atom": -0.776,
  "volume_a3_per_atom": 36.4,
  "dft_energy_ev_per_cell": -57.71
}

=====

{
  "formula": "Ce3GeI",
  "functional": "PBE-GGA",
  "state": "relaxed",
  "lattice": [[4.0920, 0.0000, 0.0000], [0.0000, 8.4367, 0.0000], [0.0000, 0.0000, 8.9159]],
  "species": ["Ce", "Ce", "Ce", "Ce", "Ce", "Ce", "Ge", "Ge", "I", "I"],
  "fractional_positions": [[0.2500, 0.0888, 0.1565], [0.2500, 0.2500, 0.7194], [0.2500, 0.4112, 0.1565], [0.7500, 0.5888, 0.8435], [0.7500, 0.7500, 0.2806], [0.7500, 0.9112, 0.8435], [0.2500, 0.7500, 0.0402], [0.7500, 0.2500, 0.9598], [0.2500, 0.7500, 0.5792], [0.7500, 0.2500, 0.4208]],
  "space_group": "Pmmn (59)",
  "raw_formation_energy_ev_per_atom": -0.529,
  "volume_a3_per_atom": 30.8,
  "dft_energy_ev_per_cell": -53.22
}

=====

{
  "formula": "Ce5Ge2I5",
  "functional": "PBE-GGA",
  "state": "relaxed",
  "lattice": [[7.2715, -2.1785, 0.0000], [7.2715, 2.1785, 0.0000], [-4.2230, 0.0000, 12.8546]],
  "species": ["Ce", "Ce", "Ce", "Ce", "Ce", "Ge", "Ge", "I", "I", "I", "I", "I"],
  "fractional_positions": [[0.0000, 0.0000, 0.0000], [0.1204, 0.1204, 0.4078], [0.3510, 0.3510, 0.1990], [0.6490, 0.6490, 0.8010], [0.8796, 0.8796, 0.5922], [0.0179, 0.0179, 0.7938], [0.9821, 0.9821, 0.2062], [0.2429, 0.2429, 0.6556], [0.3301, 0.3301, 0.9471], [0.5000, 0.5000, 0.5000], [0.6699, 0.6699, 0.0529], [0.7571, 0.7571, 0.3444]],
  "space_group": "C2/m (12)",
  "raw_formation_energy_ev_per_atom": -0.776,
  "volume_a3_per_atom": 33.9,
  "dft_energy_ev_per_cell": -55.97
}

=====

{
  "formula": "Ce3GeI3",
  "functional": "PBE-GGA",
  "state": "relaxed",
  "lattice": [[4.7431, -7.1807, 0.0000], [4.7431, 7.1807, 0.0000], [-0.5493, 0.0000, 7.4882]],
  "species": ["Ce", "Ce", "Ce", "Ce", "Ce", "Ce", "Ge", "Ge", "I", "I", "I", "I", "I", "I"],
  "fractional_positions": [[0.0705, 0.0705, 0.2517], [0.1803, 0.4612, 0.8299], [0.4612, 0.1803, 0.8299], [0.5388, 0.8197, 0.1701], [0.8197, 0.5388, 0.1701], [0.9295, 0.9295, 0.7483], [0.1990, 0.1990, 0.6082], [0.8010, 0.8010, 0.3918], [0.1778, 0.8222, 0.0000], [0.2757, 0.7243, 0.5000], [0.3907, 0.3907, 0.1754], [0.6093, 0.6093, 0.8246], [0.7243, 0.2757, 0.5000], [0.8222, 0.1778, 0.0000]],
  "space_group": "C2/m (12)",
  "raw_formation_energy_ev_per_atom": -0.655,
  "volume_a3_per_atom": 36.4,
  "dft_energy_ev_per_cell": -63.31
}